(1)
VASP calculation (PBE) on a relaxed structure of Zr4Ga6Rh7.

a b c (Å): 8.227 8.227 8.227
angles (deg): 90.00 90.00 90.00
Space group Im-3m (No. 229)
Symmetry-distinct sites (fractional):
1 Zr 0.250 0.250 0.250
2 Ga 0.000 0.000 0.311
3 Rh 0.000 0.000 0.000
4 Rh 0.000 0.250 0.500

Computed properties:
Volume = 556.8 Å³/cell
ΔE_f = -755 meV per atom

(2)
VASP calculation (PBE) on a relaxed structure of GaRu.

a b c (Å): 3.031 3.031 3.031
angles (deg): 90.00 90.00 90.00
Space group Pm-3m (No. 221)
Symmetry-distinct sites (fractional):
1 Ga 0.000 0.000 0.000
2 Ru 0.500 0.500 0.500

Computed properties:
Volume = 27.8 Å³/cell
ΔE_f = -295 meV per atom

(3)
VASP calculation (PBE) on a relaxed structure of GaRu.

a b c (Å): 5.000 5.000 4.997
angles (deg): 90.00 90.00 90.00
Space group P4_2/mnm (No. 136)
Symmetry-distinct sites (fractional):
1 Ga 0.207 0.207 0.000
2 Ru 0.207 0.207 0.500

Computed properties:
Volume = 124.9 Å³/cell
ΔE_f = 182 meV per atom